1.
SrTbEr: relaxed, GGA-PBE.

## Properties
- crystal system = tetragonal
- E_tot (eV/cell) = -10.5
- formation energy from the elements (kJ/mol of formula units) = 40
- D(E_F) (states/eV per cell) = 4.7
- polymorph energy (0 for the lowest one) (meV/atom) = 0

a b c (Å): 3.717 3.717 8.435
angles (deg): 102.73 102.73 90.00
Sites, in units of the cell vectors:
Sr 0.000 0.000 0.001
Tb 0.319 0.319 0.638
Er 0.681 0.681 0.361

=====

2.
Rb3PuSc2S6: relaxed, GGA-PBE.

## Properties
- crystal system = monoclinic
- E_tot (eV/cell) = -74.3
- E_form (uncorrected) (meV/atom) = -1638
- D(E_F) (states/eV per cell) = 12.3

a b c (Å): 6.880 6.880 7.955
angles (deg): 98.30 98.30 120.00
Sites, in units of the cell vectors:
Rb 0.500 0.500 0.500
S 0.410 0.062 0.185
S 0.286 0.286 0.815
Rb 0.165 0.835 0.500
S 0.938 0.590 0.815
Sc 0.667 0.333 0.000
S 0.590 0.938 0.815
S 0.714 0.714 0.185
Sc 0.333 0.667 0.000
S 0.062 0.410 0.185
Pu 0.000 0.000 0.000
Rb 0.835 0.165 0.500